VNi5Pt4: optimized geometry, PBE-GGA.

Calculated values
E_form = 0.10 eV per atom
space-group type = No. 12
theoretical density = 12.58 Mg/m³
V = 148 Å³ per cell
size of the total moment = 1.4 μB per cell

Cell lengths 3.5509, 7.7289, 6.8085 Å; angles 123.26, 105.12, 90.00 degrees
Site moments in Bohr magnetons follow the coordinates.
Positions (direct):
1 Pt 0.3407 0.5882 0.6815  0.08
2 Pt 0.0295 0.7826 0.0591  0.05
3 Pt 0.9705 0.2174 0.9409  0.05
4 Pt 0.6593 0.4118 0.3185  0.08
5 Ni 0.1656 0.1742 0.3312  0.20
6 Ni 0.1694 0.6692 0.3387  0.32
7 Ni 0.8344 0.8258 0.6688  0.20
8 Ni 0.5000 0.5000 0.0000  0.39
9 Ni 0.8306 0.3308 0.6613  0.32
10 V 0.5000 0.0000 0.0000  -0.22